[1]
Compound: AlZn2Cd
Source: Alexandria via LeMat-Bulk
Functional: meta-GGA SCAN
Structure: single point on PBEsol structure

## Properties
Calculated volume: 16.60 Å³ per atom
Total DFT energy (no corrections): -16.2008 eV/atom
E_form: 98 meV per atom
SG: No. 139

abc: 4.1076 4.1076 4.8917
angles: 114.83 114.83 90.00
With the nearest neighbours (Å) after each atom.
Fractional positions:
Zn 0.7500 0.2500 0.5000  4 Cd 2.84, 4 Al 2.84, 4 Zn 2.90
Zn 0.2500 0.7500 0.5000  4 Al 2.84, 4 Cd 2.84, 4 Zn 2.90
Al 0.5000 0.5000 0.0000  8 Zn 2.84, 4 Cd 2.90
Cd 0.0000 0.0000 0.0000  8 Zn 2.84, 4 Al 2.90


[2]
Compound: La3HfGa5O14
Source: Alexandria via LeMat-Bulk
Functional: meta-GGA SCAN
Structure: single point on PBEsol structure

## Properties
Calculated volume: 13.18 Å³ per atom
Total DFT energy (no corrections): -18.6024 eV/atom
SG: No. 150
ΔE_f (raw): -2.909 eV/atom

abc: 5.1433 8.2485 8.2485
angles: 120.00 90.00 90.00
With the nearest neighbours (Å) after each atom.
Fractional positions:
La 0.0000 0.4268 0.4268  6 O 2.40-2.62
La 0.0000 0.0000 0.5732  6 O 2.40-2.62
La 0.0000 0.5732 0.0000  6 O 2.40-2.62
Hf 0.0000 0.0000 0.0000  6 O 2.07
Ga 0.4693 0.6667 0.3333  4 O 1.81-1.86
Ga 0.5307 0.3333 0.6667  4 O 1.81-1.86
Ga 0.5000 0.7554 0.7554  4 O 1.85-1.87
Ga 0.5000 0.0000 0.2446  4 O 1.85-1.87
Ga 0.5000 0.2446 0.0000  4 O 1.85-1.87
O 0.7567 0.8517 0.0791  1 Ga 1.85, 1 Hf 2.07
O 0.7567 0.2274 0.1483  1 Ga 1.85, 1 Hf 2.07
O 0.2433 0.7726 0.9209  1 Ga 1.85, 1 Hf 2.07
O 0.7567 0.9209 0.7726  1 Ga 1.85, 1 Hf 2.07
O 0.2433 0.0791 0.8517  1 Ga 1.85, 1 Hf 2.07
O 0.2433 0.1483 0.2274  1 Ga 1.85, 1 Hf 2.07
O 0.8207 0.6667 0.3333  1 Ga 1.81
O 0.1793 0.3333 0.6667  1 Ga 1.81
O 0.7005 0.5419 0.6878  2 Ga 1.86-1.87
O 0.7005 0.1459 0.4581  2 Ga 1.86-1.87
O 0.2995 0.8541 0.3122  2 Ga 1.86-1.87
O 0.7005 0.3122 0.8541  2 Ga 1.86-1.87
O 0.2995 0.6878 0.5419  2 Ga 1.86-1.87
O 0.2995 0.4581 0.1459  2 Ga 1.86-1.87